Compound: GdDyS2F2
Source: the Open Quantum Materials Database
Functional: PBE
Structure: optimized geometry

Calculated values
Uncorrected energy ... -6.55 eV/atom
Size of the total moment ... 0.00 μB per cell

Cell: 3.767 3.767 6.798 Å, 90.00 90.00 90.00°
Positions (direct):
Gd 0.000 0.000 0.000
Dy 0.500 0.500 0.457
S 0.000 0.000 0.584
S 0.500 0.500 0.869
F 0.000 0.500 0.230
F 0.500 0.000 0.230

Compound: GdDySbF2
Source: the Open Quantum Materials Database
Functional: PBE
Structure: optimized geometry

Calculated values
Uncorrected energy ... -5.88 eV/atom
Size of the total moment ... 0.31 μB per cell

Cell: 4.071 4.071 6.977 Å, 90.00 90.00 120.00°
Positions (direct):
Gd 0.000 0.000 0.000
Dy 0.333 0.667 0.536
Sb 0.667 0.333 0.271
F 0.000 0.000 0.665
F 0.333 0.667 0.864

Compound: GdDySe2F2
Source: the Open Quantum Materials Database
Functional: PBE
Structure: optimized geometry

Calculated values
Uncorrected energy ... -6.20 eV/atom
Size of the total moment ... 0.00 μB per cell

Cell: 3.867 3.867 7.030 Å, 90.00 90.00 90.00°
Positions (direct):
Gd 0.000 0.000 0.000
Dy 0.500 0.500 0.433
Se 0.000 0.000 0.574
Se 0.500 0.500 0.856
F 0.000 0.500 0.218
F 0.500 0.000 0.218

Compound: DyHOF
Source: the Open Quantum Materials Database
Functional: PBE
Structure: optimized geometry

Calculated values
Uncorrected energy ... -6.02 eV/atom
Size of the total moment ... 0.02 μB per cell

Cell: 4.800 5.696 6.878 Å, 90.00 90.00 90.00°
Positions (direct):
Dy 0.221 0.044 0.378
Dy 0.279 0.956 0.878
Dy 0.721 0.456 0.622
Dy 0.779 0.544 0.122
H 0.219 0.493 0.850
H 0.281 0.507 0.350
H 0.719 0.007 0.150
H 0.781 0.993 0.650
O 0.051 0.594 0.836
O 0.449 0.406 0.336
O 0.551 0.906 0.164
O 0.949 0.094 0.664
F 0.062 0.215 0.085
F 0.438 0.785 0.585
F 0.562 0.285 0.915
F 0.938 0.715 0.415